K3FePd2O6: optimized geometry, PBE with a Hubbard U.

```
K3FePd2O6
1.0
5.647 0.077 -0.007
-2.755 4.929 -0.007
-0.971 -1.682 5.860
O Pd K Fe
6 2 3 1
Direct
0.714 0.714 0.174
0.051 0.396 0.173
0.286 0.286 0.826
0.949 0.604 0.827
0.396 0.051 0.173
0.604 0.949 0.827
0.666 0.334 0.000
0.334 0.666 0.000
0.165 0.835 0.500
0.835 0.165 0.500
0.500 0.500 0.500
0.000 0.000 0.000
```

Results
DFT total energy in eV per atom: -5.06
Symmetry: C2/m (12)